#w
## Fe2CoH2 (PBE-GGA)

Data for an optimized crystal structure of Fe2CoH2.

Properties
The calculated volume is 75.4 Å³/cell. The magnetic moment is 5.89 μB/f.u.

abc: 4.509 4.509 5.202
angles: 107.38 107.38 49.02
Fractional positions:
Fe  0.006  0.006  0.265
Fe  0.328  0.328  0.907
Fe  0.672  0.672  0.093
Fe  0.994  0.994  0.735
Co  0.332  0.332  0.420
Co  0.668  0.668  0.580
H  0.170  0.170  0.087
H  0.500  0.500  0.257
H  0.500  0.500  0.743
H  0.830  0.830  0.913

=====

#x
## Fe2CoH2 (PBE-GGA)

Data for an optimized crystal structure of Fe2CoH2.

Properties
The calculated volume is 78.4 Å³/cell. The magnetic moment is 6.00 μB/f.u.

abc: 5.439 5.439 2.650
angles: 90.00 90.00 90.00
Fractional positions:
Fe  0.158  0.342  0.000
Fe  0.342  0.842  0.000
Fe  0.658  0.158  0.000
Fe  0.842  0.658  0.000
Co  0.000  0.000  0.500
Co  0.500  0.500  0.500
H  0.177  0.677  0.500
H  0.323  0.177  0.500
H  0.677  0.823  0.500
H  0.823  0.323  0.500

=====

#y
## Fe2CoH2 (PBE-GGA)

Data for an optimized crystal structure of Fe2CoH2.

Properties
The calculated volume is 36.3 Å³/cell. The magnetic moment is 0.00 μB/f.u.

abc: 4.351 4.351 4.351
angles: 138.12 138.12 60.72
Fractional positions:
Fe  0.157  0.157  0.000
Fe  0.843  0.843  0.000
Co  0.500  0.500  0.000
H  0.250  0.750  0.500
H  0.750  0.250  0.500

=====

It is #w that is the most stable of them.

=====

#w
## Fe2CoH (PBE-GGA)

Data for an optimized crystal structure of Fe2CoH.

Properties
The calculated volume is 68.7 Å³/cell. The magnetic moment is 0.00 μB/f.u.

abc: 4.509 4.509 4.509
angles: 104.45 104.45 120.06
Fractional positions:
Fe  0.029  0.625  0.904
Fe  0.375  0.279  0.404
Fe  0.721  0.125  0.096
Fe  0.875  0.971  0.596
Co  0.250  0.750  0.500
Co  0.500  0.500  0.000
H  0.000  0.000  0.000
H  0.750  0.250  0.500

=====

#x
## Fe2CoH (PBE-GGA)

Data for an optimized crystal structure of Fe2CoH.

Properties
The calculated volume is 36.6 Å³/cell. The magnetic moment is 0.00 μB/f.u.

abc: 3.727 3.727 3.727
angles: 60.00 60.00 60.00
Fractional positions:
Fe  0.250  0.250  0.250
Fe  0.750  0.750  0.750
Co  0.000  0.000  0.000
H  0.500  0.500  0.500

=====

It is #w that is the most stable of them.

=====

#w
## Fe2CoH (PBE-GGA)

Data for an optimized crystal structure of Fe2CoH.

Properties
The calculated volume is 35.7 Å³/cell. The magnetic moment is 5.97 μB/f.u.

abc: 2.548 2.548 6.505
angles: 101.29 101.29 60.26
Fractional positions:
Fe  0.228  0.228  0.182
Fe  0.772  0.772  0.818
Co  0.000  0.000  0.500
H  0.500  0.500  0.000

=====

#x
## Fe2CoH (PBE-GGA)

Data for an optimized crystal structure of Fe2CoH.

Properties
The calculated volume is 36.1 Å³/cell. The magnetic moment is 6.21 μB/f.u.

abc: 4.446 4.446 2.562
angles: 106.49 106.49 48.66
Fractional positions:
Fe  0.000  0.000  0.000
Fe  0.673  0.673  0.672
Co  0.346  0.346  0.343
H  0.178  0.178  0.676

=====

It is #w that is the most stable of them.

=====

#w
## Fe2CoH (PBE-GGA)

Data for an optimized crystal structure of Fe2CoH.

Properties
The calculated volume is 35.6 Å³/cell. The magnetic moment is 5.83 μB/f.u.

abc: 6.511 6.511 6.511
angles: 22.55 22.55 22.55
Fractional positions:
Fe  0.000  0.000  0.000
Fe  0.212  0.212  0.212
Co  0.439  0.439  0.439
H  0.608  0.608  0.608

=====

#x
## Fe2CoH (PBE-GGA)

Data for an optimized crystal structure of Fe2CoH.

Properties
The calculated volume is 58.1 Å³/cell. The magnetic moment is 6.97 μB/f.u.

abc: 5.435 5.435 5.435
angles: 39.37 39.37 39.37
Fractional positions:
Fe  0.108  0.108  0.108
Fe  0.892  0.892  0.892
Co  0.500  0.500  0.500
H  0.000  0.000  0.000

=====

It is #w that is the most stable of them.

=====

#w
## FeCo3H (PBE-GGA)

Data for an optimized crystal structure of FeCo3H.

Properties
The calculated volume is 92.0 Å³/cell. The magnetic moment is 6.76 μB/f.u.

abc: 4.122 5.053 4.419
angles: 90.00 90.22 90.00
Fractional positions:
Fe  0.239  0.250  0.345
Fe  0.761  0.750  0.655
Co  0.242  0.000  0.831
Co  0.242  0.500  0.831
Co  0.242  0.750  0.336
Co  0.758  0.000  0.169
Co  0.758  0.250  0.664
Co  0.758  0.500  0.169
H  0.498  0.250  0.999
H  0.502  0.750  0.001

=====

#x
## FeCo3H (PBE-GGA)

Data for an optimized crystal structure of FeCo3H.

Properties
The calculated volume is 79.9 Å³/cell. The magnetic moment is 8.10 μB/f.u.

abc: 4.307 4.307 4.307
angles: 90.00 90.00 90.00
Fractional positions:
Fe  0.000  0.000  0.000
Co  0.000  0.000  0.500
Co  0.000  0.500  0.000
Co  0.500  0.000  0.000
H  0.500  0.500  0.500

=====

It is #w that is the most stable of them.

=====

#w
## Fe3CoH (PBE-GGA)

Data for an optimized crystal structure of Fe3CoH.

Properties
The calculated volume is 82.0 Å³/cell. The magnetic moment is 10.27 μB/f.u.

abc: 4.344 4.344 4.344
angles: 90.00 90.00 90.00
Fractional positions:
Fe  0.000  0.000  0.500
Fe  0.000  0.500  0.000
Fe  0.500  0.000  0.000
Co  0.000  0.000  0.000
H  0.500  0.500  0.500

=====

#x
## Fe3CoH (PBE-GGA)

Data for an optimized crystal structure of Fe3CoH.

Properties
The calculated volume is 97.1 Å³/cell. The magnetic moment is 9.15 μB/f.u.

abc: 5.028 5.028 5.028
angles: 112.63 112.26 103.67
Fractional positions:
Fe  0.240  0.000  0.740
Fe  0.240  0.500  0.240
Fe  0.272  0.022  0.250
Fe  0.728  0.978  0.750
Fe  0.760  0.000  0.260
Fe  0.760  0.500  0.760
Co  0.281  0.531  0.750
Co  0.719  0.469  0.250
H  0.007  0.257  0.750
H  0.993  0.743  0.250

=====

#y
## Fe3CoH (PBE-GGA)

Data for an optimized crystal structure of Fe3CoH.

Properties
The calculated volume is 48.4 Å³/cell. The magnetic moment is 8.92 μB/f.u.

abc: 3.643 3.643 3.643
angles: 90.00 90.00 90.00
Fractional positions:
Fe  0.000  0.000  0.500
Fe  0.000  0.500  0.000
Fe  0.500  0.000  0.000
Co  0.500  0.500  0.500
H  0.000  0.000  0.000

=====

It is #x that is the most stable of them.